1.
Material: InSbTe2Os
Method: DFT, PBE
State: optimized geometry

Cell: 5.474 5.474 5.018 Å, 90.00 90.00 90.00°
Element x y z (fractional)
Sb 0.000 0.000 0.500
Te 0.000 0.500 0.000
Te 0.500 0.000 0.000
Os 0.000 0.000 0.000
In 0.500 0.500 0.500

D(E_F): 1.2968 states/eV per atom
E: -21.689 eV per cell
ΔE to the lowest computed polymorph: 0.000 eV/atom
symmetry: No. 123
magnetic moment: 0.000 μB/f.u.
E_form (uncorrected): 0.5370 eV per atom

2.
Material: TiInSbOs2
Method: DFT, PBE
State: optimized geometry

Cell: 4.852 5.174 4.852 Å, 90.00 90.00 90.00°
Element x y z (fractional)
Sb 0.000 0.500 0.000
Ti 0.500 0.500 0.500
Os 0.000 0.000 0.500
Os 0.500 0.000 0.000
In 0.000 0.000 0.000

D(E_F): 1.3624 states/eV per atom
E: -26.067 eV per cell
symmetry: No. 123
magnetic moment: 0.000 μB/f.u.
E_form (uncorrected): 2.2297 eV per atom

3.
Material: InSbOsW2
Method: DFT, PBE
State: optimized geometry

Cell: 4.927 5.122 4.927 Å, 90.00 90.00 90.00°
Each line ends with the local moment (μB).
Element x y z (fractional)
Sb 0.000 0.500 0.000  -0.06
Os 0.500 0.500 0.500  1.49
W 0.000 0.000 0.500  1.04
W 0.500 0.000 0.000  0.82
In 0.000 0.000 0.000  0.03

D(E_F): 1.5833 states/eV per atom
E: -27.879 eV per cell
symmetry: No. 123
magnetic moment: 3.921 μB/f.u.
E_form (uncorrected): 3.2237 eV per atom

4.
Material: ScIn2Os
Method: DFT, PBE
State: optimized geometry

Cell: 5.090 5.090 5.020 Å, 77.74 77.74 38.33°
Element x y z (fractional)
In 0.987 0.987 0.021
In 0.513 0.513 0.479
Os 0.250 0.250 0.250
Sc 0.750 0.750 0.750

D(E_F): 0.7459 states/eV per atom
E: -23.006 eV per cell
symmetry: No. 12
magnetic moment: 0.000 μB/f.u.
formation energy: 0.0080 eV per atom

5.
Material: Sc4InOs
Method: DFT, PBE
State: optimized geometry

Cell: 5.761 7.414 7.414 Å, 112.41 99.86 99.86°
Element x y z (fractional)
Sc 0.881 0.647 0.801
Sc 0.051 0.940 0.278
Sc 0.619 0.199 0.353
Sc 0.449 0.722 0.060
Sc 0.551 0.278 0.940
Sc 0.381 0.801 0.647
Sc 0.949 0.060 0.722
Sc 0.119 0.353 0.199
In 0.750 0.627 0.373
In 0.250 0.373 0.627
Os 0.250 0.999 0.001
Os 0.750 0.001 0.999

D(E_F): 1.0960 states/eV per atom
E: -82.876 eV per cell
ΔE to the lowest computed polymorph: 0.000 eV/atom
symmetry: No. 15
magnetic moment: 0.000 μB/f.u.
formation energy: -0.3572 eV per atom

6.
Material: ScIn2Os
Method: DFT, PBE
State: optimized geometry

Cell: 5.135 5.135 5.135 Å, 130.38 130.38 72.80°
Element x y z (fractional)
In 0.000 0.000 0.000
In 0.250 0.750 0.500
Os 0.500 0.500 0.000
Sc 0.750 0.250 0.500

D(E_F): 0.7570 states/eV per atom
E: -22.965 eV per cell
symmetry: No. 119
magnetic moment: 0.000 μB/f.u.
formation energy: 0.0182 eV per atom

7.
Material: ScIn2Os
Method: DFT, PBE
State: optimized geometry

Cell: 3.156 4.167 5.872 Å, 90.00 90.00 90.00°
Each line ends with the local moment (μB).
Element x y z (fractional)
In 0.000 0.000 0.015  0.00
In 0.000 0.000 0.485  0.00
Os 0.500 0.500 0.250  0.00
Sc 0.500 0.500 0.750  0.19

D(E_F): 0.7943 states/eV per atom
E: -22.598 eV per cell
symmetry: No. 47
magnetic moment: 0.284 μB/f.u.
formation energy: 0.1101 eV per atom

8.
Material: ScIn2Os
Method: DFT, PBE
State: optimized geometry

Cell: 4.685 3.116 5.587 Å, 76.60 90.00 90.00°
Each line ends with the local moment (μB).
Element x y z (fractional)
In 0.000 0.103 0.013  0.00
In 0.000 0.397 0.487  0.00
Os 0.500 0.250 0.250  0.29
Sc 0.500 0.750 0.750  -0.01

D(E_F): 0.9537 states/eV per atom
E: -22.701 eV per cell
symmetry: No. 10
magnetic moment: 0.324 μB/f.u.
formation energy: 0.0843 eV per atom

9.
Material: Sc4In3Os
Method: DFT, PBE
State: optimized geometry

Cell: 3.230 3.230 16.294 Å, 90.00 90.00 90.00°
Each line ends with the local moment (μB).
Element x y z (fractional)
Sc 0.000 0.000 0.905  -0.01
Sc 0.000 0.000 0.095  -0.01
Sc 0.000 0.000 0.367  0.26
Sc 0.000 0.000 0.633  0.26
Os 0.500 0.500 0.000  -0.01
In 0.500 0.500 0.236  0.00
In 0.500 0.500 0.500  0.00
In 0.500 0.500 0.764  0.00

D(E_F): 0.5712 states/eV per atom
E: -48.542 eV per cell
symmetry: No. 123
magnetic moment: 0.706 μB/f.u.
formation energy: -0.4714 eV per atom

10.
Material: ScIn2Os
Method: DFT, PBE
State: optimized geometry

Cell: 4.069 4.069 10.632 Å, 78.97 78.97 90.00°
Element x y z (fractional)
Sc 0.500 0.500 0.000
Sc 0.250 0.750 0.500
Os 0.000 0.000 0.000
Os 0.750 0.250 0.500
In 0.635 0.125 0.250
In 0.115 0.625 0.250
In 0.375 0.365 0.750
In 0.875 0.885 0.750

D(E_F): 0.7640 states/eV per atom
E: -43.708 eV per cell
symmetry: No. 122
magnetic moment: 0.000 μB/f.u.
formation energy: 0.2961 eV per atom

11.
Material: ScIn2Os
Method: DFT, PBE
State: optimized geometry

Cell: 3.270 3.270 7.372 Å, 90.00 90.00 90.00°
Each line ends with the local moment (μB).
Element x y z (fractional)
In 0.000 0.000 0.033  0.00
In 0.000 0.000 0.467  0.00
Os 0.500 0.500 0.250  -0.01
Sc 0.500 0.500 0.750  0.36

D(E_F): 0.5831 states/eV per atom
E: -22.703 eV per cell
symmetry: No. 123
magnetic moment: 0.516 μB/f.u.
formation energy: 0.0838 eV per atom

12.
Material: Sc3InOs2
Method: DFT, PBE
State: optimized geometry

Cell: 3.301 3.301 10.178 Å, 90.00 90.00 90.00°
Element x y z (fractional)
Sc 0.000 0.000 0.000
Sc 0.000 0.000 0.700
Sc 0.000 0.000 0.300
In 0.500 0.500 0.500
Os 0.500 0.500 0.841
Os 0.500 0.500 0.159

D(E_F): 0.4431 states/eV per atom
E: -47.008 eV per cell
symmetry: No. 123
magnetic moment: 0.000 μB/f.u.
formation energy: -0.4692 eV per atom